The following is a DFT calculation (PBE) of Sc2SO after structural relaxation.

Crystal system = trigonal
SG = R3m
ΔE_f (raw) = -203.17 kJ per mole of atoms
Raw total energy = -30.2 eV per cell
Energy above the most stable polymorph in this dataset = 60 meV/atom

a b c (Å): 3.3358 3.3358 6.4055
angles (deg): 74.91 74.91 60.00
Fractional coordinates of all 4 atoms:
Sc 0.0894 0.0894 0.7317
Sc 0.2461 0.2461 0.2617
S 0.6684 0.6684 0.9948
O 0.4960 0.4960 0.5119